A plane-wave DFT calculation with PBE-GGA was carried out for SmInGa2 after structural relaxation.

Cell: 4.5350 4.5350 4.3240 Å, 90.00 90.00 90.00°
With the nearest neighbours (Å) after each atom.
Fractional positions:
1 Sm 0.0000 0.0000 0.0000  8 Ga 3.13, 4 In 3.21
2 In 0.5000 0.5000 0.0000  8 Ga 3.13, 4 Sm 3.21
3 Ga 0.0000 0.5000 0.5000  4 In 3.13, 4 Sm 3.13, 4 Ga 3.21
4 Ga 0.5000 0.0000 0.5000  4 In 3.13, 4 Sm 3.13, 4 Ga 3.21

Distance to the lowest polymorph of the same formula, eV per formula unit: 0.00
Volume, Å³/atom: 22.2
Formation enthalpy at 0 K, kJ/mol of formula units: -188
DFT total energy, eV/atom: -3.864

***

A plane-wave DFT calculation with PBE-GGA was carried out for RbSn8Bi2 after structural relaxation.

Cell: 4.7354 4.7354 15.7518 Å, 93.45 93.45 89.78°
With the nearest neighbours (Å) after each atom.
Fractional positions:
1 Rb 0.0000 0.0000 0.0000  8 Sn 3.73-3.75
2 Sn 0.0417 0.5373 0.2342  7 Sn 3.09-3.37
3 Sn 0.1076 0.1076 0.3962  5 Bi 3.22-3.53, 2 Sn 3.36
4 Sn 0.4627 0.9583 0.7658  7 Sn 3.09-3.37
5 Sn 0.4801 0.4801 0.8938  5 Sn 3.09-3.33
6 Sn 0.5199 0.5199 0.1062  5 Sn 3.09-3.33
7 Sn 0.5373 0.0417 0.2342  7 Sn 3.09-3.37
8 Sn 0.8924 0.8924 0.6038  5 Bi 3.22-3.53, 2 Sn 3.36
9 Sn 0.9583 0.4627 0.7658  7 Sn 3.09-3.37
10 Bi 0.3644 0.3644 0.5814  7 Sn 3.22-3.59, 1 Bi 3.27
11 Bi 0.6356 0.6356 0.4186  7 Sn 3.22-3.59, 1 Bi 3.27

Volume, Å³/atom: 32.0
Formation enthalpy at 0 K, kJ/mol of formula units: 23
DFT total energy, eV/atom: -3.683

***

A plane-wave DFT calculation with PBE-GGA was carried out for PbAuO after structural relaxation.

Cell: 9.1891 9.1891 9.1891 Å, 92.94 92.94 153.83°
With the nearest neighbours (Å) after each atom.
Fractional positions:
1 Pb 0.0000 0.2292 0.2292  2 O 2.10
2 Pb 0.0000 0.7708 0.7708  2 O 2.10
3 Pb 0.2292 0.0000 0.2292  2 O 2.10
4 Pb 0.7708 0.0000 0.7708  2 O 2.10
5 Au 0.1144 0.5000 0.6144  2 Pb 2.87, 5 Au 2.90-2.92
6 Au 0.5000 0.1144 0.6144  2 Pb 2.87, 5 Au 2.90-2.92
7 Au 0.5000 0.8856 0.3856  2 Pb 2.87, 5 Au 2.90-2.92
8 Au 0.8856 0.5000 0.3856  2 Pb 2.87, 5 Au 2.90-2.92
9 O 0.1386 0.1386 0.2773  2 Pb 2.10
10 O 0.1386 0.8614 0.0000  2 Pb 2.10
11 O 0.8614 0.1386 0.0000  2 Pb 2.10
12 O 0.8614 0.8614 0.7227  2 Pb 2.10

Formation energy from raw total energies, eV per atom: -0.291
Distance to the lowest polymorph of the same formula, eV per formula unit: 0.91
Volume, Å³/atom: 27.8
DFT total energy, eV/atom: -4.272